{
  "formula": "CrCoSb2Te",
  "functional": "PBE-GGA",
  "state": "optimized geometry",
  "raw_formation_energy_ev_per_atom": 0.91,
  "volume_a3_per_cell": 131.2,
  "cell": [[5.001, 0.000, 0.000], [0.000, 5.001, 0.000], [0.000, 0.000, 5.245]],
  "species": ["Sb", "Co", "Sb", "Te", "Cr"],
  "frac_coords": [[0.000, 0.500, 0.000], [0.500, 0.500, 0.500], [0.500, 0.000, 0.000], [0.000, 0.000, 0.500], [0.000, 0.000, 0.000]]
}